1.
Material: TeMoAu
Method: DFT, PBE-GGA
State: optimized geometry

Structure (POSCAR):
```
TeMoAu
1.0
4.810 0.000 0.000
-2.405 4.166 0.000
0.000 0.000 2.917
Te Mo Au
1 1 1
Cartesian
0.000 0.000 0.000 Te
2.405 1.389 0.000 Mo
0.000 2.777 1.459 Au
```

Formation energy from raw total energies: 562 meV per atom
Total DFT energy (no corrections): -15.564 eV/f.u.
Distance to the lowest polymorph of the same formula: 0.225 eV/atom
Crystal system: hexagonal
Magnetic moment: 0.000 μB per atom
ρ: 11.947 g/cm3

---

2.
Material: TeMo2Au
Method: DFT, PBE-GGA
State: optimized geometry

Structure (POSCAR):
```
TeMo2Au
1.0
-1.985 1.985 10.063
1.985 -1.985 10.063
1.985 1.985 -10.063
Te Mo Au
2 4 2
Cartesian
0.000 0.000 0.000 Te
0.000 1.985 5.031 Te
0.993 -0.776 7.547 Mo
1.209 0.993 2.516 Mo
0.993 2.761 -2.516 Mo
0.776 0.993 12.578 Mo
1.985 0.000 5.031 Au
0.000 0.000 10.063 Au
```

Formation energy from raw total energies: 623 meV per atom
Total DFT energy (no corrections): -25.591 eV/f.u.
Crystal system: tetragonal
Magnetic moment: 0.000 μB per atom
ρ: 10.813 g/cm3